Record 1
! CdRuRh (PBE-GGA, relaxed); values from VASP
&SYSTEM
  ibrav = 0, nat = 3, ntyp = 3
/
ATOMIC_SPECIES
Cd 112.41 Cd.upf
Ru 101.07 Ru.upf
Rh 102.91 Rh.upf
CELL_PARAMETERS angstrom
0.000 2.396 7.127
1.418 0.000 7.127
1.418 2.396 0.000
ATOMIC_POSITIONS angstrom
Cd 0.000 0.000 0.000
Ru 1.418 2.396 9.613
Rh 1.418 2.396 4.676
! **ρ**: 10.84 g/cm3
! **ΔH_f (0 K)**: 0.989 eV per formula unit
! **Energy relative to the lowest polymorph listed for this composition**: 251 meV per atom



Record 2
! DyHo2Ag4 (PBE-GGA, relaxed); values from VASP
&SYSTEM
  ibrav = 0, nat = 7, ntyp = 3
/
ATOMIC_SPECIES
Dy 162.50 Dy.upf
Ho 164.93 Ho.upf
Ag 107.87 Ag.upf
CELL_PARAMETERS angstrom
-3.567 3.567 3.552
3.567 -3.567 3.552
3.567 3.567 -3.552
ATOMIC_POSITIONS angstrom
Dy 0.000 0.000 0.000
Ho 3.567 0.000 0.000
Ho 0.000 3.567 0.000
Ag 1.784 1.784 -1.776
Ag 1.784 -1.784 1.776
Ag -1.784 1.784 1.776
Ag 1.784 1.784 1.776
! **ρ**: 8.49 g/cm3
! **ΔH_f (0 K)**: -0.681 eV per formula unit